A plane-wave DFT calculation with PBE was carried out for PCSe2 after structural relaxation.

Results
Energy relative to the lowest polymorph listed for this composition in meV/atom: 610
ΔE_f (raw) in meV/atom: 1735
Total energy in eV per atom: -3.67
Theoretical density in g cm⁻³: 5.44

The structure in POSCAR format:
```
PCSe2
1.0
0.000 3.130 3.130
3.130 0.000 3.130
3.130 3.130 0.000
P C Se
1 1 2
Direct
0.000 0.000 0.000 P
0.500 0.500 0.500 C
0.250 0.250 0.250 Se
0.750 0.750 0.750 Se
```



A plane-wave DFT calculation with PBE was carried out for Sm6ErTl6 after structural relaxation.

Results
Formation energy in eV/atom: -0.19
Total energy in eV per atom: -3.82
Theoretical density in g cm⁻³: 9.64

The structure in POSCAR format:
```
Sm6ErTl6
1.0
6.506 0.000 0.000
-3.253 5.635 0.000
0.000 0.000 10.793
Sm Er Tl
6 1 6
Direct
0.000 0.000 0.168 Sm
0.000 0.000 0.832 Sm
0.333 0.667 0.000 Sm
0.333 0.667 0.500 Sm
0.667 0.333 0.000 Sm
0.667 0.333 0.500 Sm
0.000 0.000 0.500 Er
0.000 0.500 0.253 Tl
0.000 0.500 0.747 Tl
0.500 0.000 0.253 Tl
0.500 0.000 0.747 Tl
0.500 0.500 0.253 Tl
0.500 0.500 0.747 Tl
```



A plane-wave DFT calculation with PBE was carried out for KScSi2 after structural relaxation.

Results
Energy relative to the lowest polymorph listed for this composition in meV/atom: 479
ΔE_f (raw) in meV/atom: 230
Total energy in eV per atom: -4.34
Theoretical density in g cm⁻³: 2.79

The structure in POSCAR format:
```
KScSi2
1.0
-2.214 2.214 4.254
2.214 -2.214 4.254
2.214 2.214 -4.254
K Sc Si
1 1 2
Direct
0.000 0.000 0.000 K
0.500 0.500 0.000 Sc
0.250 0.750 0.500 Si
0.750 0.250 0.500 Si
```



A plane-wave DFT calculation with PBE was carried out for LiMg3Ir after structural relaxation.

Results
Energy relative to the lowest polymorph listed for this composition in meV/atom: 235
Formation energy in eV/atom: -0.05
Total energy in eV per atom: -3.16
Theoretical density in g cm⁻³: 3.60

The structure in POSCAR format:
```
LiMg3Ir
1.0
5.005 0.000 0.000
0.000 5.005 0.000
0.000 0.000 5.005
Li Mg Ir
1 3 1
Direct
0.000 0.000 0.000 Li
0.000 0.500 0.500 Mg
0.500 0.000 0.500 Mg
0.500 0.500 0.000 Mg
0.500 0.500 0.500 Ir
```



A plane-wave DFT calculation with PBE was carried out for LiTlHgGe after structural relaxation.

Results
Formation energy in eV/atom: -0.01
Total energy in eV per atom: -2.31
Theoretical density in g cm⁻³: 9.07

The structure in POSCAR format:
```
LiTlHgGe
1.0
0.000 3.539 3.539
3.539 0.000 3.539
3.539 3.539 0.000
Li Tl Hg Ge
1 1 1 1
Direct
0.000 0.000 0.000 Li
0.250 0.250 0.250 Tl
0.750 0.750 0.750 Hg
0.500 0.500 0.500 Ge
```



A plane-wave DFT calculation with PBE was carried out for SrGaCl6 after structural relaxation.

Results
ΔE_f (raw) in meV/atom: -1286
Total energy in eV per atom: -3.26
Theoretical density in g cm⁻³: 2.76

The structure in POSCAR format:
```
SrGaCl6
1.0
6.644 0.000 0.000
3.319 5.760 0.000
3.298 1.902 5.815
Sr Ga Cl
1 1 6
Direct
0.000 0.000 0.000 Sr
0.500 0.500 0.500 Ga
0.112 0.455 0.733 Cl
0.299 0.889 0.270 Cl
0.458 0.698 0.734 Cl
0.542 0.302 0.266 Cl
0.701 0.111 0.730 Cl
0.888 0.545 0.267 Cl
```



A plane-wave DFT calculation with PBE was carried out for KAg2Os after structural relaxation.

Results
Energy relative to the lowest polymorph listed for this composition in meV/atom: 519
Formation energy in eV/atom: 1.25
Total energy in eV per atom: -3.26
Theoretical density in g cm⁻³: 8.97

The structure in POSCAR format:
```
KAg2Os
1.0
-2.091 2.091 4.712
2.091 -2.091 4.712
2.091 2.091 -4.712
K Ag Os
1 2 1
Direct
0.000 0.000 0.000 K
0.500 0.500 0.000 Ag
0.750 0.250 0.500 Ag
0.250 0.750 0.500 Os
```



A plane-wave DFT calculation with PBE was carried out for TlCd4Re after structural relaxation.

Results
Formation energy in eV/atom: 0.77
Total energy in eV per atom: -2.31
Theoretical density in g cm⁻³: 10.61

The structure in POSCAR format:
```
TlCd4Re
1.0
0.000 4.036 4.036
4.036 0.000 4.036
4.036 4.036 0.000
Tl Cd Re
1 4 1
Direct
0.000 0.000 0.000 Tl
0.128 0.624 0.624 Cd
0.624 0.128 0.624 Cd
0.624 0.624 0.128 Cd
0.624 0.624 0.624 Cd
0.250 0.250 0.250 Re
```



A plane-wave DFT calculation with PBE was carried out for AgRu2Au after structural relaxation.

Results
Energy relative to the lowest polymorph listed for this composition in meV/atom: 205
Formation energy in eV/atom: 0.42
Total energy in eV per atom: -5.75
Theoretical density in g cm⁻³: 13.29

The structure in POSCAR format:
```
AgRu2Au
1.0
4.593 -1.388 0.000
4.593 1.388 0.000
-0.813 0.000 4.968
Ag Ru Au
1 2 1
Direct
0.000 0.000 0.000 Ag
0.244 0.244 0.701 Ru
0.507 0.507 0.525 Ru
0.755 0.755 0.226 Au
```



A plane-wave DFT calculation with PBE was carried out for TaZn2Ru after structural relaxation.

Results
Energy relative to the lowest polymorph listed for this composition in meV/atom: 108
Formation energy in eV/atom: -0.01
Total energy in eV per atom: -5.93
Theoretical density in g cm⁻³: 11.34

The structure in POSCAR format:
```
TaZn2Ru
1.0
-1.904 1.904 4.167
1.904 -1.904 4.167
1.904 1.904 -4.167
Ta Zn Ru
1 2 1
Direct
0.000 0.000 0.000 Ta
0.250 0.750 0.500 Zn
0.750 0.250 0.500 Zn
0.500 0.500 0.000 Ru
```



A plane-wave DFT calculation with PBE was carried out for PmCoSn2 after structural relaxation.

Results
Energy relative to the lowest polymorph listed for this composition in meV/atom: 28
Formation energy in eV/atom: -0.45
Total energy in eV per atom: -5.41
Theoretical density in g cm⁻³: 8.01

The structure in POSCAR format:
```
PmCoSn2
1.0
7.345 0.000 0.000
0.000 4.511 0.000
0.000 0.000 11.039
Pm Co Sn
4 4 8
Direct
0.201 0.250 0.138 Pm
0.299 0.750 0.638 Pm
0.701 0.250 0.362 Pm
0.799 0.750 0.862 Pm
0.027 0.750 0.362 Co
0.473 0.250 0.862 Co
0.527 0.750 0.138 Co
0.973 0.250 0.638 Co
0.121 0.250 0.838 Sn
0.146 0.250 0.440 Sn
0.354 0.750 0.940 Sn
0.379 0.750 0.338 Sn
0.621 0.250 0.662 Sn
0.646 0.250 0.060 Sn
0.854 0.750 0.560 Sn
0.879 0.750 0.162 Sn
```



A plane-wave DFT calculation with PBE was carried out for TlCuF3 after structural relaxation.

Results
ΔE_f (raw) in meV/atom: -1538
Total energy in eV per atom: -3.95
Theoretical density in g cm⁻³: 7.20

The structure in POSCAR format:
```
TlCuF3
1.0
3.867 0.000 0.000
0.000 6.186 0.000
0.000 0.000 6.265
Tl Cu F
2 2 6
Direct
0.250 0.250 0.165 Tl
0.750 0.750 0.835 Tl
0.250 0.250 0.586 Cu
0.750 0.750 0.414 Cu
0.250 0.030 0.840 F
0.250 0.470 0.840 F
0.250 0.750 0.437 F
0.750 0.250 0.563 F
0.750 0.530 0.160 F
0.750 0.970 0.160 F
```